# ScUS2N, optimized geometry, DFT PBE
data_ScUS2N
_space_group_name_H-M_alt 'P 4/n m m'
_space_group_IT_number 129
_cell_length_a 3.718
_cell_length_b 3.718
_cell_length_c 13.037
_cell_angle_alpha 90.00
_cell_angle_beta 90.00
_cell_angle_gamma 90.00
loop_
_space_group_symop_operation_xyz
'x,y,z'
'-x,-y,-z'
'-y+1/2,x,z'
'y+1/2,-x,-z'
'-x+1/2,-y+1/2,z'
'x+1/2,y+1/2,-z'
'y,-x+1/2,z'
'-y,x+1/2,-z'
'x+1/2,-y,-z'
'-x+1/2,y,z'
'-y,-x,-z'
'y,x,z'
'-x,y+1/2,-z'
'x,-y+1/2,z'
'y+1/2,x+1/2,-z'
'-y+1/2,-x+1/2,z'
loop_
_atom_site_label
_atom_site_fract_x
_atom_site_fract_y
_atom_site_fract_z
Sc1 0.250 0.250 0.103
U1 0.250 0.250 0.595
S1 0.250 0.250 0.299
S2 0.250 0.250 0.901
N1 0.250 0.750 0.500
# **Total moment**: 0.308 μB per atom
# **DOS at the Fermi energy**: 13.05 states/eV per cell

---

# ScV2SN, optimized geometry, DFT PBE
data_ScV2SN
_space_group_name_H-M_alt 'P 4/m m m'
_space_group_IT_number 123
_space_group_name_Hall '-P 4 2'
_cell_length_a 4.253
_cell_length_b 4.253
_cell_length_c 4.814
_cell_angle_alpha 90.00
_cell_angle_beta 90.00
_cell_angle_gamma 90.00
loop_
_atom_site_label
_atom_site_fract_x
_atom_site_fract_y
_atom_site_fract_z
Sc1 0.000 0.000 0.000
V1 0.000 0.500 0.500
S1 0.000 0.000 0.500
N1 0.500 0.500 0.000
# **Total moment**: 0.754 μB per atom
# **DOS at the Fermi energy**: 3.76 states/eV per cell

---

# ScWSN2, optimized geometry, DFT PBE
data_ScWSN2
_space_group_name_H-M_alt 'P 4/m m m'
_space_group_IT_number 123
_space_group_name_Hall '-P 4 2'
_cell_length_a 3.913
_cell_length_b 3.913
_cell_length_c 4.850
_cell_angle_alpha 90.00
_cell_angle_beta 90.00
_cell_angle_gamma 90.00
loop_
_atom_site_label
_atom_site_fract_x
_atom_site_fract_y
_atom_site_fract_z
Sc1 0.000 0.000 0.000
W1 0.500 0.500 0.500
S1 0.500 0.500 0.000
N1 0.000 0.500 0.500
# **Total moment**: 0.000 μB per atom
# **DOS at the Fermi energy**: 2.23 states/eV per cell
# **Distance to the lowest polymorph of the same formula**: 0.0000 eV per atom

---

# ScWSN2, optimized geometry, DFT PBE
data_ScWSN2
_space_group_name_H-M_alt 'P 4/m m m'
_space_group_IT_number 123
_space_group_name_Hall '-P 4 2'
_cell_length_a 4.030
_cell_length_b 4.030
_cell_length_c 4.872
_cell_angle_alpha 90.00
_cell_angle_beta 90.00
_cell_angle_gamma 90.00
loop_
_atom_site_label
_atom_site_fract_x
_atom_site_fract_y
_atom_site_fract_z
Sc1 0.000 0.000 0.000
W1 0.500 0.500 0.500
S1 0.000 0.000 0.500
N1 0.000 0.500 0.000
# **Total moment**: 0.305 μB per atom
# **DOS at the Fermi energy**: 2.74 states/eV per cell
# **Distance to the lowest polymorph of the same formula**: 1.4891 eV per atom

---

# YScS2N, optimized geometry, DFT PBE
data_YScS2N
_space_group_name_H-M_alt 'P 4/m m m'
_space_group_IT_number 123
_space_group_name_Hall '-P 4 2'
_cell_length_a 5.176
_cell_length_b 5.176
_cell_length_c 4.100
_cell_angle_alpha 90.00
_cell_angle_beta 90.00
_cell_angle_gamma 90.00
loop_
_atom_site_label
_atom_site_fract_x
_atom_site_fract_y
_atom_site_fract_z
Y1 0.000 0.000 0.000
Sc1 0.500 0.500 0.500
S1 0.000 0.500 0.000
N1 0.000 0.000 0.500
# **Total moment**: 0.000 μB per atom
# **DOS at the Fermi energy**: 2.91 states/eV per cell
# **Distance to the lowest polymorph of the same formula**: 0.5961 eV per atom

---

# YSc2SN, optimized geometry, DFT PBE
data_YSc2SN
_space_group_name_H-M_alt 'P 4/m m m'
_space_group_IT_number 123
_space_group_name_Hall '-P 4 2'
_cell_length_a 5.496
_cell_length_b 5.496
_cell_length_c 4.827
_cell_angle_alpha 90.00
_cell_angle_beta 90.00
_cell_angle_gamma 90.00
loop_
_atom_site_label
_atom_site_fract_x
_atom_site_fract_y
_atom_site_fract_z
Y1 0.000 0.000 0.000
Sc1 0.000 0.500 0.000
S1 0.000 0.000 0.500
N1 0.500 0.500 0.500
# **Total moment**: 0.000 μB per atom
# **DOS at the Fermi energy**: 6.89 states/eV per cell

---

# YScSN2, optimized geometry, DFT PBE
data_YScSN2
_space_group_name_H-M_alt 'P 4/m m m'
_space_group_IT_number 123
_space_group_name_Hall '-P 4 2'
_cell_length_a 4.069
_cell_length_b 4.069
_cell_length_c 5.037
_cell_angle_alpha 90.00
_cell_angle_beta 90.00
_cell_angle_gamma 90.00
loop_
_atom_site_label
_atom_site_fract_x
_atom_site_fract_y
_atom_site_fract_z
Y1 0.000 0.000 0.000
Sc1 0.500 0.500 0.500
S1 0.500 0.500 0.000
N1 0.000 0.500 0.500
# **Total moment**: 0.076 μB per atom
# **DOS at the Fermi energy**: 1.98 states/eV per cell
# **Distance to the lowest polymorph of the same formula**: 0.0000 eV per atom

---

# YScS2N, optimized geometry, DFT PBE
data_YScS2N
_space_group_name_H-M_alt 'P 4/m m m'
_space_group_IT_number 123
_space_group_name_Hall '-P 4 2'
_cell_length_a 4.906
_cell_length_b 4.906
_cell_length_c 4.047
_cell_angle_alpha 90.00
_cell_angle_beta 90.00
_cell_angle_gamma 90.00
loop_
_atom_site_label
_atom_site_fract_x
_atom_site_fract_y
_atom_site_fract_z
Y1 0.000 0.000 0.000
Sc1 0.500 0.500 0.500
S1 0.000 0.500 0.500
N1 0.500 0.500 0.000
# **Total moment**: 0.203 μB per atom
# **DOS at the Fermi energy**: 2.21 states/eV per cell
# **Distance to the lowest polymorph of the same formula**: 0.0000 eV per atom

---

# YScSN2, optimized geometry, DFT PBE
data_YScSN2
_space_group_name_H-M_alt 'P 4/m m m'
_space_group_IT_number 123
_space_group_name_Hall '-P 4 2'
_cell_length_a 4.223
_cell_length_b 4.223
_cell_length_c 5.299
_cell_angle_alpha 90.00
_cell_angle_beta 90.00
_cell_angle_gamma 90.00
loop_
_atom_site_label
_atom_site_fract_x
_atom_site_fract_y
_atom_site_fract_z
Y1 0.000 0.000 0.000
Sc1 0.500 0.500 0.500
S1 0.000 0.000 0.500
N1 0.000 0.500 0.000
# **Total moment**: 0.172 μB per atom
# **DOS at the Fermi energy**: 1.37 states/eV per cell
# **Distance to the lowest polymorph of the same formula**: 0.6350 eV per atom

---

# ScZnS2N, optimized geometry, DFT PBE
data_ScZnS2N
_space_group_name_H-M_alt 'P 4/m m m'
_space_group_IT_number 123
_space_group_name_Hall '-P 4 2'
_cell_length_a 4.992
_cell_length_b 4.992
_cell_length_c 4.143
_cell_angle_alpha 90.00
_cell_angle_beta 90.00
_cell_angle_gamma 90.00
loop_
_atom_site_label
_atom_site_fract_x
_atom_site_fract_y
_atom_site_fract_z
Sc1 0.000 0.000 0.000
Zn1 0.500 0.500 0.500
S1 0.000 0.500 0.000
N1 0.000 0.000 0.500
# **Total moment**: 0.396 μB per atom
# **DOS at the Fermi energy**: 2.52 states/eV per cell
# **Distance to the lowest polymorph of the same formula**: 0.0191 eV per atom

---

# ScZnS2N, optimized geometry, DFT PBE
data_ScZnS2N
_space_group_name_H-M_alt 'P 4/m m m'
_space_group_IT_number 123
_space_group_name_Hall '-P 4 2'
_cell_length_a 4.783
_cell_length_b 4.783
_cell_length_c 3.738
_cell_angle_alpha 90.00
_cell_angle_beta 90.00
_cell_angle_gamma 90.00
loop_
_atom_site_label
_atom_site_fract_x
_atom_site_fract_y
_atom_site_fract_z
Sc1 0.000 0.000 0.000
Zn1 0.500 0.500 0.500
S1 0.000 0.500 0.500
N1 0.500 0.500 0.000
# **Total moment**: 0.329 μB per atom
# **DOS at the Fermi energy**: 2.51 states/eV per cell
# **Distance to the lowest polymorph of the same formula**: 0.0000 eV per atom

---

# ZrScS2N, optimized geometry, DFT PBE
data_ZrScS2N
_space_group_name_H-M_alt 'P 4/m m m'
_space_group_IT_number 123
_space_group_name_Hall '-P 4 2'
_cell_length_a 4.847
_cell_length_b 4.847
_cell_length_c 3.911
_cell_angle_alpha 90.00
_cell_angle_beta 90.00
_cell_angle_gamma 90.00
loop_
_atom_site_label
_atom_site_fract_x
_atom_site_fract_y
_atom_site_fract_z
Zr1 0.000 0.000 0.000
Sc1 0.500 0.500 0.500
S1 0.000 0.500 0.500
N1 0.500 0.500 0.000
# **Total moment**: 0.000 μB per atom
# **DOS at the Fermi energy**: 2.97 states/eV per cell
# **Distance to the lowest polymorph of the same formula**: 0.2931 eV per atom

---

# ZrScS2N, optimized geometry, DFT PBE
data_ZrScS2N
_space_group_name_H-M_alt 'P 4/m m m'
_space_group_IT_number 123
_space_group_name_Hall '-P 4 2'
_cell_length_a 5.013
_cell_length_b 5.013
_cell_length_c 4.032
_cell_angle_alpha 90.00
_cell_angle_beta 90.00
_cell_angle_gamma 90.00
loop_
_atom_site_label
_atom_site_fract_x
_atom_site_fract_y
_atom_site_fract_z
Zr1 0.000 0.000 0.000
Sc1 0.500 0.500 0.500
S1 0.000 0.500 0.000
N1 0.000 0.000 0.500
# **Total moment**: 0.000 μB per atom
# **DOS at the Fermi energy**: 1.40 states/eV per cell
# **Distance to the lowest polymorph of the same formula**: 0.0000 eV per atom

---

# ZrScSN2, optimized geometry, DFT PBE
data_ZrScSN2
_space_group_name_H-M_alt 'P 4/m m m'
_space_group_IT_number 123
_space_group_name_Hall '-P 4 2'
_cell_length_a 4.115
_cell_length_b 4.115
_cell_length_c 5.087
_cell_angle_alpha 90.00
_cell_angle_beta 90.00
_cell_angle_gamma 90.00
loop_
_atom_site_label
_atom_site_fract_x
_atom_site_fract_y
_atom_site_fract_z
Zr1 0.000 0.000 0.000
Sc1 0.500 0.500 0.500
S1 0.000 0.000 0.500
N1 0.000 0.500 0.000
# **Total moment**: 0.000 μB per atom
# **DOS at the Fermi energy**: 1.51 states/eV per cell
# **Distance to the lowest polymorph of the same formula**: 0.0000 eV per atom

---

no.,E_form (uncorrected) (eV/f.u.),volume (Å³/atom)
1,-8.51,18.020
2,3.61,17.413
3,-1.80,14.851
4,5.65,15.829
5,-1.86,21.968
6,7.50,29.162
7,-2.82,16.677
8,-4.84,19.481
9,0.35,18.900
10,0.64,20.648
11,0.54,17.100
12,-2.01,18.380
13,-3.47,20.260
14,-2.02,17.229